Entry A
First-principles (SCAN) data for a crystal of Zr3Zn5 relaxed with PBEsol, as listed in Alexandria.

Computed properties:
- Theoretical density: 7.33 g cm⁻³
- Size of the total moment: 0.00 μB/atom

Cell: 4.250 11.110 5.761 Å, 90.00 90.00 90.00°
Space group Amm2 (No. 38)
One atom of each set of equivalent atoms:
Zr  0.000  0.000  0.000
Zr  0.500  0.138  0.709
Zn  0.000  0.000  0.505
Zn  0.000  0.232  0.412
Zn  0.500  0.115  0.229


Entry B
First-principles (SCAN) data for a crystal of Zr3Zn5 relaxed with PBEsol, as listed in Alexandria.

Computed properties:
- Theoretical density: 7.47 g cm⁻³
- Size of the total moment: 0.00 μB/atom

Cell: 4.428 4.428 13.613 Å, 90.00 90.00 90.00°
Space group I4/mmm (No. 139)
One atom of each set of equivalent atoms:
Zr  0.000  0.000  0.000
Zr  0.000  0.000  0.256
Zn  0.000  0.000  0.500
Zn  0.000  0.500  0.117


Which structure above is the least stable one? entry A is the least stable one.